Entry from the Alexandria database: a geometry-optimized ZnH3Pb structure (GGA-PBEsol).

The calculated total energy is -2.483 eV per atom. Its space group is No. 221. The calculation puts the calculated volume at 14.01 Å³/atom. The excess energy over the best structure of this formula in the dataset comes out at 1.21 eV/f.u.

Cell and atoms, written as extended XYZ:
```
5
Lattice="4.123 0.000 0.000 0.000 4.123 0.000 0.000 0.000 4.123" Properties=species:S:1:pos:R:3 pbc="T T T"
Pb 0.000 0.000 0.000
H 0.000 2.061 0.000
H 0.000 0.000 2.061
H 2.061 0.000 0.000
Zn 2.061 2.061 2.061
```